Record 1
Pm3Cd2Rh3 | Alexandria | GGA-PBE | relaxed; DFT total energy = -5.30 eV per atom; energy relative to the elements = -12.4 kcal/mol of atoms; M_tot = 0.0 μB per cell
1.0
-5.701 0.742 -1.226
1.830 0.534 -8.190
-1.714 -7.477 3.446
Pm Cd Rh
6 4 6
direct
0.250 0.276 0.276
0.750 0.000 0.276
0.250 0.000 0.724
0.750 0.724 0.724
0.250 0.724 0.000
0.750 0.276 0.000
0.000 0.667 0.333
0.500 0.333 0.667
0.500 0.667 0.333
0.000 0.333 0.667
0.750 0.387 0.387
0.250 0.613 0.613
0.750 0.000 0.613
0.250 0.387 0.000
0.750 0.613 0.000
0.250 0.000 0.387

=====

Record 2
InBSeN2 | Alexandria | GGA-PBE | relaxed; DFT total energy = -4.60 eV per atom; M_tot = 0.0 μB per cell
1.0
-2.155 1.709 -2.119
-2.581 -2.142 0.898
-1.597 3.937 4.799
N In B Se
2 1 1 1
direct
0.000 0.500 0.000
0.500 0.000 0.000
0.500 0.500 0.500
0.000 0.000 0.000
0.000 0.000 0.500

=====

Record 3
HoNpP2O8 | Alexandria | GGA-PBE | relaxed; DFT total energy = -8.39 eV per atom; M_tot = 4.0 μB per cell
1.0
5.273 0.000 0.000
-2.636 4.566 0.000
0.000 0.000 7.119
O Np P Ho
8 1 2 1
direct
0.653 0.827 0.720
0.173 0.826 0.720
0.333 0.667 0.010
0.347 0.173 0.280
0.827 0.174 0.280
0.826 0.653 0.280
0.667 0.333 0.990
0.174 0.347 0.720
0.000 0.000 0.000
0.667 0.333 0.205
0.333 0.667 0.795
0.000 0.000 0.500

=====

Record 4
AcLa4Si4 | Alexandria | GGA-PBE | relaxed; DFT total energy = -5.47 eV per atom; M_tot = 0.0 μB per cell
1.0
-2.251 2.411 5.159
-8.579 0.517 -3.984
-2.004 -8.693 3.187
Si La Ac
8 8 2
direct
0.357 0.643 0.772
0.857 0.272 0.857
0.643 0.772 0.357
0.643 0.228 0.643
0.143 0.143 0.272
0.143 0.857 0.728
0.357 0.357 0.228
0.857 0.728 0.143
0.632 0.083 0.306
0.132 0.806 0.417
0.132 0.194 0.583
0.632 0.917 0.694
0.868 0.417 0.194
0.368 0.306 0.917
0.368 0.694 0.083
0.868 0.583 0.806
0.500 0.500 0.500
0.000 0.000 0.000

=====

Record 5
ScRhS2Cl | Alexandria | GGA-PBE | relaxed; DFT total energy = -5.13 eV per atom; M_tot = 0.0 μB per cell
1.0
4.693 0.000 0.000
0.000 4.693 0.000
0.000 0.000 4.557
S Cl Rh Sc
2 1 1 1
direct
0.500 0.000 0.000
0.000 0.500 0.000
0.000 0.000 0.500
0.000 0.000 0.000
0.500 0.500 0.500

=====

Record 6
LaP2Pd7Se2 | Alexandria | GGA-PBE | relaxed; DFT total energy = -5.38 eV per atom; M_tot = 0.0 μB per cell
1.0
4.526 -0.339 -0.301
-0.334 4.527 -0.301
1.206 1.205 11.110
Pd La P Se
7 1 2 2
direct
0.449 0.856 0.230
0.856 0.449 0.230
0.636 0.636 0.601
0.551 0.144 0.770
0.500 0.500 0.000
0.364 0.364 0.399
0.144 0.551 0.770
0.000 0.000 0.000
0.328 0.328 0.191
0.672 0.672 0.809
0.814 0.814 0.397
0.186 0.186 0.603

=====

Record 7
CeMgCd | Alexandria | GGA-PBE | relaxed; DFT total energy = -2.86 eV per atom; energy relative to the elements = -1.1 kcal/mol of atoms; M_tot = 1.0 μB per cell
1.0
3.153 0.000 0.000
0.000 3.153 0.000
-1.577 -1.577 14.223
Cd Ce Mg
2 2 2
direct
0.864 0.864 0.728
0.136 0.136 0.272
0.547 0.547 0.093
0.453 0.453 0.907
0.290 0.290 0.580
0.710 0.710 0.420

=====

Record 8
Ba2TeAs | Alexandria | GGA-PBE | relaxed; DFT total energy = -4.03 eV per atom; M_tot = 0.8 μB per cell
1.0
0.000 4.158 4.158
4.158 0.000 4.158
4.158 4.158 0.000
As Ba Te
1 2 1
direct
0.000 0.000 0.000
0.250 0.250 0.250
0.750 0.750 0.750
0.500 0.500 0.500

=====

Record 9
YTaBe2 | Alexandria | GGA-PBE | relaxed; DFT total energy = -6.34 eV per atom; energy relative to the elements = 2.5 kcal/mol of atoms; M_tot = 0.0 μB per cell
1.0
-2.338 -1.633 1.595
1.740 0.203 2.758
-2.744 5.244 1.345
Ta Be Y
1 2 1
direct
0.500 0.500 0.250
0.000 0.000 0.065
0.000 0.000 0.435
0.500 0.500 0.750

=====

Record 10
Tb4Pm6Ho | Alexandria | GGA-PBE | relaxed; DFT total energy = -4.32 eV per atom; energy relative to the elements = 8.6 kcal/mol of atoms; M_tot = 0.0 μB per cell
1.0
7.520 0.000 0.000
0.000 7.520 0.000
-3.760 -3.760 6.825
Tb Pm Ho
4 6 1
direct
0.914 0.914 0.161
0.086 0.753 0.839
0.753 0.086 0.839
0.247 0.247 0.161
0.538 0.538 0.625
0.000 0.500 0.000
0.087 0.087 0.625
0.500 0.000 0.000
0.913 0.462 0.375
0.462 0.913 0.375
0.500 0.500 0.000

=====

Record 11
BaSr2Mg | Alexandria | GGA-PBE | relaxed; DFT total energy = -1.65 eV per atom; energy relative to the elements = 1.7 kcal/mol of atoms; M_tot = 0.0 μB per cell
1.0
-2.621 -2.306 -2.435
0.230 -4.250 0.057
-9.242 -2.515 8.608
Sr Mg Ba
2 1 1
direct
0.071 0.071 0.788
0.262 0.262 0.213
0.666 0.666 0.001
0.500 0.500 0.499

=====

Record 12
FeCu2SnSe4 | Alexandria | GGA-PBE | relaxed; DFT total energy = -4.58 eV per atom; M_tot = 3.8 μB per cell
1.0
6.934 0.774 0.043
2.288 -1.029 6.511
-4.162 -3.853 -4.064
Se Fe Cu Sn
4 1 2 1
direct
0.904 0.904 0.540
0.636 0.096 0.000
0.096 0.636 0.000
0.364 0.364 0.460
0.000 0.000 0.000
0.750 0.250 0.500
0.250 0.750 0.500
0.500 0.500 0.000